DFT (meta-GGA SCAN) results for a crystal of DyHoMg2 relaxed with PBEsol.

The value obtained for the calculated total energy is -107.01 eV/cell. For the volume, the calculation gives 104 Å³/f.u. As for the formation energy: -0.069 eV per atom. The symmetry is Fm-3m, No. 225. The crystal system is cubic.

Cell and atoms, written as POSCAR:
```
DyHoMg2
1.0
5.274 0.000 0.000
2.637 4.568 0.000
2.637 1.523 4.307
Mg Ho Dy
2 1 1
Cartesian
7.912 4.568 3.230
2.637 1.523 1.077
0.000 0.000 0.000
5.274 3.045 2.153
```